The following is a DFT calculation (PBE-GGA) of a relaxed structure of LaZn3Hg.

energy	-8.38	eV/cell
excess energy over the best structure of this formula in the dataset	0.4431	eV per atom
E_form	134	meV per atom
SG	Pm-3m, No. 221
crystal system	cubic
total magnetization	0.00	μB/f.u.

Cell and atoms, written as CIF:
```
data_LaZn3Hg
_chemical_formula_sum 'La1 Zn3 Hg1'
_symmetry_space_group_name_H-M 'P 1'
_symmetry_Int_Tables_number 1
_symmetry_space_group_name_Hall 'P 1'
_cell_length_a 4.990
_cell_length_b 4.990
_cell_length_c 4.990
_cell_angle_alpha 90.00
_cell_angle_beta 90.00
_cell_angle_gamma 90.00
loop_
_atom_site_label
_atom_site_type_symbol
_atom_site_fract_x
_atom_site_fract_y
_atom_site_fract_z
Zn1 Zn 0.000 0.500 0.000
Zn2 Zn 0.000 0.000 0.500
Zn3 Zn 0.500 0.000 0.000
Hg1 Hg 0.000 0.000 0.000
La1 La 0.500 0.500 0.500
```